Entry 1:
First-principles (PBE-GGA) data for a relaxed As2HIrBr crystal, as listed in Alexandria.

Computed properties:
Total DFT energy (no corrections) ... -3.8100 eV/atom
Distance to the lowest polymorph of the same formula ... 0 meV/atom
DOS at the Fermi energy ... 3.44 states/eV/cell

abc: 4.730 4.730 5.620
angles: 90.00 90.00 90.00
Atoms (fractional coordinates):
As  0.000  0.500  0.000
As  0.500  0.000  0.000
H  0.000  0.000  0.500
Ir  0.500  0.500  0.000
Br  0.500  0.500  0.500

=====

Entry 2:
First-principles (PBE-GGA) data for a relaxed As2HIrBr crystal, as listed in Alexandria.

Computed properties:
Total DFT energy (no corrections) ... -3.7437 eV/atom
Distance to the lowest polymorph of the same formula ... 66 meV/atom
DOS at the Fermi energy ... 1.84 states/eV/cell

abc: 3.977 3.977 4.883
angles: 90.00 90.00 90.00
Atoms (fractional coordinates):
As  0.000  0.500  0.000
As  0.500  0.000  0.000
H  0.000  0.000  0.000
Ir  0.500  0.500  0.500
Br  0.000  0.000  0.500

=====

Entry 3:
First-principles (PBE-GGA) data for a relaxed LaAsHBr2 crystal, as listed in Alexandria.

Computed properties:
Total DFT energy (no corrections) ... -3.5782 eV/atom
Distance to the lowest polymorph of the same formula ... 143 meV/atom
DOS at the Fermi energy ... 1.03 states/eV/cell

abc: 5.909 5.909 6.179
angles: 90.00 90.00 90.00
Atoms (fractional coordinates):
La  0.000  0.000  0.000
As  0.000  0.000  0.500
H  0.500  0.500  0.500
Br  0.000  0.500  0.000
Br  0.500  0.000  0.000

=====

Entry 4:
First-principles (PBE-GGA) data for a relaxed LaAsHBr2 crystal, as listed in Alexandria.

Computed properties:
Total DFT energy (no corrections) ... -3.7210 eV/atom
Distance to the lowest polymorph of the same formula ... 0 meV/atom
DOS at the Fermi energy ... 3.22 states/eV/cell

abc: 5.211 5.211 3.858
angles: 90.00 90.00 90.00
Atoms (fractional coordinates):
La  0.000  0.000  0.000
As  0.500  0.500  0.000
H  0.500  0.500  0.500
Br  0.000  0.500  0.500
Br  0.500  0.000  0.500

=====

Entry 5:
First-principles (PBE-GGA) data for a relaxed LiAsH2Br crystal, as listed in Alexandria.

Computed properties:
Total DFT energy (no corrections) ... -3.1606 eV/atom
DOS at the Fermi energy ... 2.28 states/eV/cell

abc: 3.550 3.550 6.473
angles: 90.00 90.00 90.00
Atoms (fractional coordinates):
Li  0.000  0.000  0.000
As  0.000  0.000  0.500
H  0.000  0.500  0.500
H  0.500  0.000  0.500
Br  0.500  0.500  0.000

=====

Entry 6:
First-principles (PBE-GGA) data for a relaxed LiAsHBr2 crystal, as listed in Alexandria.

Computed properties:
Total DFT energy (no corrections) ... -2.7532 eV/atom
Distance to the lowest polymorph of the same formula ... 0 meV/atom
DOS at the Fermi energy ... 2.82 states/eV/cell

abc: 5.314 5.314 3.521
angles: 90.00 90.00 90.00
Atoms (fractional coordinates):
Li  0.000  0.000  0.000
As  0.500  0.500  0.000
H  0.500  0.500  0.500
Br  0.000  0.500  0.500
Br  0.500  0.000  0.500

=====

Entry 7:
First-principles (PBE-GGA) data for a relaxed LiAsHBr2 crystal, as listed in Alexandria.

Computed properties:
Total DFT energy (no corrections) ... -2.1462 eV/atom
Distance to the lowest polymorph of the same formula ... 607 meV/atom
DOS at the Fermi energy ... 3.27 states/eV/cell

abc: 5.044 5.044 4.748
angles: 90.00 90.00 90.00
Atoms (fractional coordinates):
Li  0.000  0.000  0.000
As  0.000  0.000  0.500
H  0.500  0.500  0.500
Br  0.000  0.500  0.000
Br  0.500  0.000  0.000

=====

Entry 8:
First-principles (PBE-GGA) data for a relaxed MnAs2HBr crystal, as listed in Alexandria.

Computed properties:
Total DFT energy (no corrections) ... -4.2016 eV/atom
Distance to the lowest polymorph of the same formula ... 0 meV/atom
DOS at the Fermi energy ... 3.82 states/eV/cell

abc: 3.917 3.917 6.015
angles: 90.00 90.00 90.00
Atoms (fractional coordinates):
Mn  0.000  0.000  0.000
As  0.000  0.500  0.500
As  0.500  0.000  0.500
H  0.500  0.500  0.500
Br  0.500  0.500  0.000